(1)
VASP calculation (PBE) on crystalline Bi3PtN at its relaxed geometry.

Results
* E_form (uncorrected): 2.62 eV/f.u.
* magnetization: 0.0 μB per formula unit
* total DFT energy (no corrections): -23.39 eV per formula unit

Cell: 4.8402 4.8402 4.8402 Å, 90.00 90.00 90.00°
Element x y z (fractional)
Bi  0.0000  0.0000  0.5000
Bi  0.0000  0.5000  0.0000
Bi  0.5000  0.0000  0.0000
Pt  0.5000  0.5000  0.5000
N  0.0000  0.0000  0.0000


(2)
VASP calculation (PBE) on crystalline Mo2PIN at its relaxed geometry.

Results
* E_form (uncorrected): 11.63 eV/f.u.
* magnetization: 2.9 μB per formula unit
* total DFT energy (no corrections): -25.32 eV per formula unit

Cell: 5.0387 5.0387 3.8822 Å, 90.00 90.00 90.00°
Element x y z (fractional)
Mo  0.0000  0.5000  0.0000
Mo  0.5000  0.0000  0.0000
P  0.0000  0.0000  0.5000
I  0.5000  0.5000  0.0000
N  0.5000  0.5000  0.5000


(3)
VASP calculation (PBE) on crystalline VAsHRh2 at its relaxed geometry.

Results
* magnetization: 2.1 μB per formula unit
* total DFT energy (no corrections): -32.83 eV per formula unit

Cell: 3.8947 3.8947 3.9611 Å, 90.00 90.00 90.00°
Element x y z (fractional)
V  0.0000  0.0000  0.0000
As  0.5000  0.5000  0.0000
H  0.0000  0.0000  0.5000
Rh  0.0000  0.5000  0.5000
Rh  0.5000  0.0000  0.5000


(4)
VASP calculation (PBE) on crystalline CoCu2Si at its relaxed geometry.

Results
* E_form (uncorrected): -0.53 eV/f.u.
* magnetization: 0.0 μB per formula unit
* total DFT energy (no corrections): -21.25 eV per formula unit

Cell: 2.6121 3.6333 5.0821 Å, 90.00 104.80 90.00°
Element x y z (fractional)
Co  0.0000  0.0000  0.0000
Cu  0.2673  0.0000  0.5309
Cu  0.6598  0.5000  0.3157
Si  0.4194  0.5000  0.8374


(5)
VASP calculation (PBE) on crystalline Ba3Mg3Cd8 at its relaxed geometry.

Results
* magnetization: 0.0 μB per formula unit
* total DFT energy (no corrections): -21.57 eV per formula unit
* E_form: -0.26 eV per atom

Cell: 9.5719 9.5719 9.5719 Å, 148.73 115.02 73.88°
Element x y z (fractional)
Ba  0.0000  0.0000  0.0000
Ba  0.2926  0.2926  0.0000
Ba  0.7074  0.7074  0.0000
Mg  0.3174  0.5000  0.8174
Mg  0.5000  0.0000  0.5000
Mg  0.6826  0.5000  0.1826
Cd  0.0150  0.6613  0.3537
Cd  0.1559  0.8663  0.2897
Cd  0.3076  0.6613  0.6463
Cd  0.4234  0.1337  0.2897
Cd  0.5766  0.8663  0.7103
Cd  0.6924  0.3387  0.3537
Cd  0.8441  0.1337  0.7103
Cd  0.9850  0.3387  0.6463


(6)
VASP calculation (PBE) on crystalline BaIn2I4 at its relaxed geometry.

Results
* E_form (uncorrected): -6.95 eV/f.u.
* magnetization: 0.0 μB per formula unit
* total DFT energy (no corrections): -20.55 eV per formula unit

Cell: 10.2988 10.2988 14.5530 Å, 90.00 90.00 90.00°
Element x y z (fractional)
Ba  0.0000  0.2658  0.0000
Ba  0.0000  0.7342  0.5000
Ba  0.2658  0.0000  0.7500
Ba  0.7342  0.0000  0.2500
In  0.2424  0.2424  0.3750
In  0.2424  0.7576  0.1250
In  0.2691  0.5000  0.7500
In  0.5000  0.2691  0.0000
In  0.5000  0.7309  0.5000
In  0.7309  0.5000  0.2500
In  0.7576  0.2424  0.6250
In  0.7576  0.7576  0.8750
I  0.0309  0.2466  0.7616
I  0.0309  0.7534  0.7384
I  0.2466  0.0309  0.9884
I  0.2471  0.4926  0.9923
I  0.2471  0.5074  0.5077
I  0.2466  0.9691  0.5116
I  0.4926  0.2471  0.7577
I  0.4926  0.7529  0.7423
I  0.5074  0.2471  0.2423
I  0.5074  0.7529  0.2577
I  0.7534  0.0309  0.0116
I  0.7529  0.4926  0.0077
I  0.7529  0.5074  0.4923
I  0.7534  0.9691  0.4884
I  0.9691  0.2466  0.2384
I  0.9691  0.7534  0.2616


(7)
VASP calculation (PBE) on crystalline Na3InMo at its relaxed geometry.

Results
* magnetization: 4.6 μB per formula unit
* total DFT energy (no corrections): -11.68 eV per formula unit
* E_form: 1.17 eV per atom

Cell: 5.7703 5.7703 5.7703 Å, 90.00 90.00 90.00°
Element x y z (fractional)
Na  0.0000  0.0000  0.5000
Na  0.0000  0.5000  0.0000
Na  0.5000  0.0000  0.0000
In  0.0000  0.0000  0.0000
Mo  0.5000  0.5000  0.5000


(8)
VASP calculation (PBE) on crystalline TlCdAg at its relaxed geometry.

Results
* magnetization: 0.0 μB per formula unit
* total DFT energy (no corrections): -5.90 eV per formula unit
* E_form: 0.08 eV per atom

Cell: 7.0071 7.0059 3.2642 Å, 76.55 76.51 26.94°
Element x y z (fractional)
Tl  0.0000  0.0000  0.0000
Cd  0.6922  0.6922  0.3078
Ag  0.3298  0.3298  0.6702


(9)
VASP calculation (PBE) on crystalline Ba2NaNb5O15 at its relaxed geometry.

Results
* E_form (uncorrected): -61.46 eV/f.u.
* magnetization: 0.0 μB per formula unit
* total DFT energy (no corrections): -191.35 eV per formula unit

Cell: 12.6445 12.6445 4.1420 Å, 90.00 90.00 90.00°
Element x y z (fractional)
Ba  0.1706  0.3294  0.0000
Ba  0.3294  0.8294  0.0000
Ba  0.6706  0.1706  0.0000
Ba  0.8294  0.6706  0.0000
Na  0.0000  0.0000  0.9527
Na  0.5000  0.5000  0.9527
Nb  0.0000  0.5000  0.4890
Nb  0.0758  0.7918  0.4947
Nb  0.2082  0.0758  0.4947
Nb  0.2918  0.5758  0.4947
Nb  0.4242  0.2918  0.4947
Nb  0.5000  0.0000  0.4890
Nb  0.5758  0.7082  0.4947
Nb  0.7082  0.4242  0.4947
Nb  0.7918  0.9242  0.4947
Nb  0.9242  0.2082  0.4947
O  0.0000  0.5000  0.0419
O  0.0060  0.3433  0.5487
O  0.0684  0.1414  0.5595
O  0.0778  0.7958  0.0483
O  0.1414  0.9316  0.5595
O  0.1567  0.4940  0.5487
O  0.2042  0.0778  0.0483
O  0.2187  0.7187  0.5408
O  0.2813  0.2187  0.5408
O  0.2958  0.5778  0.0483
O  0.3433  0.9940  0.5487
O  0.3586  0.4316  0.5595
O  0.4222  0.2958  0.0483
O  0.4316  0.6414  0.5595
O  0.4940  0.8433  0.5487
O  0.5000  0.0000  0.0419
O  0.5060  0.1567  0.5487
O  0.5684  0.3586  0.5595
O  0.5778  0.7042  0.0483
O  0.6414  0.5684  0.5595
O  0.6567  0.0060  0.5487
O  0.7042  0.4222  0.0483
O  0.7187  0.7813  0.5408
O  0.7813  0.2813  0.5408
O  0.7958  0.9222  0.0483
O  0.8433  0.5060  0.5487
O  0.8586  0.0684  0.5595
O  0.9222  0.2042  0.0483
O  0.9316  0.8586  0.5595
O  0.9940  0.6567  0.5487


(10)
VASP calculation (PBE) on crystalline KTiPtSe2 at its relaxed geometry.

Results
* E_form (uncorrected): 1.75 eV/f.u.
* magnetization: 0.0 μB per formula unit
* total DFT energy (no corrections): -20.25 eV per formula unit

Cell: 4.8112 4.8112 6.5751 Å, 90.00 90.00 90.00°
Element x y z (fractional)
K  0.0000  0.0000  0.0000
Ti  0.0000  0.0000  0.5000
Pt  0.5000  0.5000  0.0000
Se  0.0000  0.5000  0.5000
Se  0.5000  0.0000  0.5000


(11)
VASP calculation (PBE) on crystalline Nd4Ho3Th at its relaxed geometry.

Results
* magnetization: 0.0 μB per formula unit
* total DFT energy (no corrections): -40.15 eV per formula unit
* E_form: 0.01 eV per atom

Cell: 12.2372 12.2372 6.2697 Å, 104.59 104.59 17.03°
Element x y z (fractional)
Nd  0.1237  0.1237  0.4543
Nd  0.2488  0.2488  0.2463
Nd  0.7512  0.7512  0.7537
Nd  0.8763  0.8763  0.5457
Ho  0.3783  0.3783  0.0435
Ho  0.5000  0.5000  0.5000
Ho  0.6217  0.6217  0.9565
Th  0.0000  0.0000  0.0000